# 1
# TiAlSbO6 (GGA-PBE, relaxed)
# - ΔE_f (raw) (meV per atom) = -2308
data_TiAlSbO6
_space_group_name_H-M_alt 'P -3 1 c'
_space_group_IT_number 163
_space_group_name_Hall '-P 3 2c'
_cell_length_a 4.9793
_cell_length_b 4.9793
_cell_length_c 8.7418
_cell_angle_alpha 90.00
_cell_angle_beta 90.00
_cell_angle_gamma 120.00
loop_
_atom_site_label
_atom_site_fract_x
_atom_site_fract_y
_atom_site_fract_z
_atom_site_occupancy
Ti1 0.0000 0.0000 0.0000 1
Al1 0.3333 0.6667 0.2500 1
Sb1 0.3333 0.6667 0.7500 1
O1 0.0131 0.3411 0.1289 1


# 2
# Co2AsW (GGA-PBE, relaxed)
# - energy of formation from the pure elements (kcal/mol of atoms) = 3.633
data_Co2AsW
_space_group_name_H-M_alt 'I m m m'
_space_group_IT_number 71
_space_group_name_Hall '-I 2 2'
_cell_length_a 3.1396
_cell_length_b 4.0973
_cell_length_c 7.9999
_cell_angle_alpha 90.00
_cell_angle_beta 90.00
_cell_angle_gamma 90.00
loop_
_atom_site_label
_atom_site_fract_x
_atom_site_fract_y
_atom_site_fract_z
_atom_site_occupancy
Co1 0.0000 0.0000 0.2302 1
As1 0.0000 0.5000 0.5000 1
W1 0.0000 0.5000 0.0000 1


# 3
# LiLaTl4 (GGA-PBE, relaxed)
# - energy relative to the lowest polymorph listed for this composition (meV per atom) = 0
# - energy of formation from the pure elements (kcal/mol of atoms) = -4.061
data_LiLaTl4
_space_group_name_H-M_alt 'C 1 2/m 1'
_space_group_IT_number 12
_cell_length_a 11.2912
_cell_length_b 3.7797
_cell_length_c 8.1654
_cell_angle_alpha 90.00
_cell_angle_beta 107.02
_cell_angle_gamma 90.00
loop_
_space_group_symop_operation_xyz
'x,y,z'
'-x,-y,-z'
'-x,y,-z'
'x,-y,z'
'x+1/2,y+1/2,z'
'-x+1/2,-y+1/2,-z'
'-x+1/2,y+1/2,-z'
'x+1/2,-y+1/2,z'
loop_
_atom_site_label
_atom_site_fract_x
_atom_site_fract_y
_atom_site_fract_z
_atom_site_occupancy
Li1 0.0000 0.0000 0.0000 1
La1 0.0000 0.0000 0.5000 1
Tl1 0.1539 0.5000 0.8577 1
Tl2 0.1699 0.5000 0.2978 1


# 4
# Rb3Tb2RhO6 (GGA-PBE, relaxed)
# - ΔE_f (raw) (meV per atom) = -2042
data_Rb3Tb2RhO6
_space_group_name_H-M_alt 'C 1 2/m 1'
_space_group_IT_number 12
_cell_length_a 5.9217
_cell_length_b 10.2494
_cell_length_c 6.7856
_cell_angle_alpha 90.00
_cell_angle_beta 106.82
_cell_angle_gamma 90.00
loop_
_space_group_symop_operation_xyz
'x,y,z'
'-x,-y,-z'
'-x,y,-z'
'x,-y,z'
'x+1/2,y+1/2,z'
'-x+1/2,-y+1/2,-z'
'-x+1/2,y+1/2,-z'
'x+1/2,-y+1/2,z'
loop_
_atom_site_label
_atom_site_fract_x
_atom_site_fract_y
_atom_site_fract_z
_atom_site_occupancy
Rb1 0.0000 0.0000 0.0000 1
Rb2 0.0000 0.3373 0.0000 1
Tb1 0.0000 0.1669 0.5000 1
Rh1 0.0000 0.5000 0.5000 1
O1 0.2179 0.3408 0.6762 1
O2 0.2399 0.0000 0.6761 1


# 5
# Pm8GaPt2 (GGA-PBE, relaxed)
# - energy relative to the lowest polymorph listed for this composition (meV per atom) = 0
# - energy of formation from the pure elements (kcal/mol of atoms) = -12.210
data_Pm8GaPt2
_space_group_name_H-M_alt 'C 1 2/m 1'
_space_group_IT_number 12
_cell_length_a 18.7724
_cell_length_b 5.1772
_cell_length_c 6.9638
_cell_angle_alpha 90.00
_cell_angle_beta 110.89
_cell_angle_gamma 90.00
loop_
_space_group_symop_operation_xyz
'x,y,z'
'-x,-y,-z'
'-x,y,-z'
'x,-y,z'
'x+1/2,y+1/2,z'
'-x+1/2,-y+1/2,-z'
'-x+1/2,y+1/2,-z'
'x+1/2,-y+1/2,z'
loop_
_atom_site_label
_atom_site_fract_x
_atom_site_fract_y
_atom_site_fract_z
_atom_site_occupancy
Pm1 0.0288 0.0000 0.2865 1
Pm2 0.0951 0.5000 0.9732 1
Pm3 0.1758 0.5000 0.5011 1
Pm4 0.1996 0.0000 0.8406 1
Ga1 0.0000 0.5000 0.5000 1
Pt1 0.1686 0.0000 0.2231 1


# 6
# Mg2HgAs (GGA-PBE, relaxed)
# - energy relative to the lowest polymorph listed for this composition (meV per atom) = 182
# - energy of formation from the pure elements (kcal/mol of atoms) = -4.310
data_Mg2HgAs
_space_group_name_H-M_alt 'P 4 m m'
_space_group_IT_number 99
_cell_length_a 3.9591
_cell_length_b 3.9591
_cell_length_c 5.6952
_cell_angle_alpha 90.00
_cell_angle_beta 90.00
_cell_angle_gamma 90.00
loop_
_space_group_symop_operation_xyz
'x,y,z'
'-y,x,z'
'-x,-y,z'
'y,-x,z'
'-x,y,z'
'y,x,z'
'x,-y,z'
'-y,-x,z'
loop_
_atom_site_label
_atom_site_fract_x
_atom_site_fract_y
_atom_site_fract_z
_atom_site_occupancy
Mg1 0.0000 0.0000 0.0000 1
Mg2 0.5000 0.5000 0.3847 1
Hg1 0.5000 0.5000 0.8808 1
As1 0.0000 0.0000 0.4807 1


# 7
# MgInAu2 (GGA-PBE, relaxed)
# - energy of formation from the pure elements (kcal/mol of atoms) = -8.422
data_MgInAu2
_space_group_name_H-M_alt 'C 1 2/m 1'
_space_group_IT_number 12
_cell_length_a 6.5998
_cell_length_b 6.3674
_cell_length_c 3.6881
_cell_angle_alpha 90.00
_cell_angle_beta 90.27
_cell_angle_gamma 90.00
loop_
_space_group_symop_operation_xyz
'x,y,z'
'-x,-y,-z'
'-x,y,-z'
'x,-y,z'
'x+1/2,y+1/2,z'
'-x+1/2,-y+1/2,-z'
'-x+1/2,y+1/2,-z'
'x+1/2,-y+1/2,z'
loop_
_atom_site_label
_atom_site_fract_x
_atom_site_fract_y
_atom_site_fract_z
_atom_site_occupancy
Mg1 0.0000 0.0000 0.0000 1
In1 0.0000 0.5000 0.0000 1
Au1 0.2500 0.2500 0.5000 1


# 8
# La8TmSc2 (GGA-PBE, relaxed)
# - energy of formation from the pure elements (kcal/mol of atoms) = 2.602
data_La8TmSc2
_space_group_name_H-M_alt 'I m m m'
_space_group_IT_number 71
_space_group_name_Hall '-I 2 2'
_cell_length_a 5.6808
_cell_length_b 9.2103
_cell_length_c 14.4330
_cell_angle_alpha 90.00
_cell_angle_beta 90.00
_cell_angle_gamma 90.00
loop_
_atom_site_label
_atom_site_fract_x
_atom_site_fract_y
_atom_site_fract_z
_atom_site_occupancy
La1 0.0000 0.0000 0.1424 1
La2 0.0000 0.1972 0.3470 1
La3 0.0000 0.3363 0.0000 1
Tm1 0.0000 0.5000 0.5000 1
Sc1 0.0000 0.5000 0.2166 1


# 9
# Dy2CdAu4 (GGA-PBE, relaxed)
# - energy of formation from the pure elements (kcal/mol of atoms) = -13.467
data_Dy2CdAu4
_space_group_name_H-M_alt 'R -3 m'
_space_group_IT_number 166
_space_group_name_Hall '-R 3 2"'
_cell_length_a 4.8786
_cell_length_b 4.8786
_cell_length_c 23.9697
_cell_angle_alpha 90.00
_cell_angle_beta 90.00
_cell_angle_gamma 120.00
loop_
_atom_site_label
_atom_site_fract_x
_atom_site_fract_y
_atom_site_fract_z
_atom_site_occupancy
Dy1 0.0000 0.0000 0.2485 1
Cd1 0.0000 0.0000 0.0000 1
Au1 0.0000 0.0000 0.1267 1
Au2 0.0000 0.0000 0.3747 1


# 10
# Sm7Ho12Sc (GGA-PBE, relaxed)
# - energy relative to the lowest polymorph listed for this composition (meV per atom) = 0
# - energy of formation from the pure elements (kcal/mol of atoms) = 5.534
data_Sm7Ho12Sc
_space_group_name_H-M_alt 'R -3'
_space_group_IT_number 148
_space_group_name_Hall '-R 3'
_cell_length_a 11.8684
_cell_length_b 11.8684
_cell_length_c 16.1419
_cell_angle_alpha 90.00
_cell_angle_beta 90.00
_cell_angle_gamma 120.00
loop_
_atom_site_label
_atom_site_fract_x
_atom_site_fract_y
_atom_site_fract_z
_atom_site_occupancy
Sm1 0.0000 0.0000 0.0000 1
Sm2 0.0585 0.8701 0.2892 1
Ho1 0.0324 0.5761 0.2220 1
Ho2 0.0530 0.4689 0.5832 1
Sc1 0.0000 0.0000 0.5000 1


# 11
# LiGdGaSi (GGA-PBE, relaxed)
# - ΔE_f (raw) (meV per atom) = -351
data_LiGdGaSi
_space_group_name_H-M_alt 'F -4 3 m'
_space_group_IT_number 216
_space_group_name_Hall 'F -4 2 3'
_cell_length_a 6.7993
_cell_length_b 6.7993
_cell_length_c 6.7993
_cell_angle_alpha 90.00
_cell_angle_beta 90.00
_cell_angle_gamma 90.00
loop_
_atom_site_label
_atom_site_fract_x
_atom_site_fract_y
_atom_site_fract_z
_atom_site_occupancy
Li1 0.0000 0.0000 0.0000 1
Gd1 0.0000 0.0000 0.5000 1
Ga1 0.2500 0.2500 0.7500 1
Si1 0.2500 0.2500 0.2500 1


# 12
# Hf2ZrVN (GGA-PBE, relaxed)
# - energy relative to the lowest polymorph listed for this composition (meV per atom) = 2929
# - ΔE_f (raw) (meV per atom) = 2329
data_Hf2ZrVN
_space_group_name_H-M_alt 'P 4/m m m'
_space_group_IT_number 123
_space_group_name_Hall '-P 4 2'
_cell_length_a 5.1654
_cell_length_b 5.1654
_cell_length_c 4.4783
_cell_angle_alpha 90.00
_cell_angle_beta 90.00
_cell_angle_gamma 90.00
loop_
_atom_site_label
_atom_site_fract_x
_atom_site_fract_y
_atom_site_fract_z
_atom_site_occupancy
Hf1 0.0000 0.5000 0.0000 1
Zr1 0.0000 0.0000 0.0000 1
V1 0.0000 0.0000 0.5000 1
N1 0.5000 0.5000 0.5000 1


# 13
# Ca2HgAs2 (GGA-PBE, relaxed)
# - energy of formation from the pure elements (kcal/mol of atoms) = -13.034
data_Ca2HgAs2
_space_group_name_H-M_alt 'I 4/m m m'
_space_group_IT_number 139
_space_group_name_Hall '-I 4 2'
_cell_length_a 4.0241
_cell_length_b 4.0241
_cell_length_c 16.4050
_cell_angle_alpha 90.00
_cell_angle_beta 90.00
_cell_angle_gamma 90.00
loop_
_atom_site_label
_atom_site_fract_x
_atom_site_fract_y
_atom_site_fract_z
_atom_site_occupancy
Ca1 0.0000 0.0000 0.1162 1
Hg1 0.0000 0.0000 0.5000 1
As1 0.0000 0.5000 0.2500 1


# 14
# Pm2DyMnSe5 (GGA-PBE, relaxed)
# - ΔE_f (raw) (meV per atom) = -1541
data_Pm2DyMnSe5
_space_group_name_H-M_alt 'C m c 21'
_space_group_IT_number 36
_cell_length_a 4.0557
_cell_length_b 17.3703
_cell_length_c 12.4443
_cell_angle_alpha 90.00
_cell_angle_beta 90.00
_cell_angle_gamma 90.00
loop_
_space_group_symop_operation_xyz
'x,y,z'
'-x,-y,z+1/2'
'-x,y,z'
'x,-y,z+1/2'
'x+1/2,y+1/2,z'
'-x+1/2,-y+1/2,z+1/2'
'-x+1/2,y+1/2,z'
'x+1/2,-y+1/2,z+1/2'
loop_
_atom_site_label
_atom_site_fract_x
_atom_site_fract_y
_atom_site_fract_z
_atom_site_occupancy
Pm1 0.0000 0.1176 0.0000 1
Pm2 0.0000 0.1211 0.3481 1
Dy1 0.0000 0.1810 0.6785 1
Mn1 0.0000 0.4464 0.0793 1
Se1 0.0000 0.0145 0.6769 1
Se2 0.0000 0.3027 0.3419 1
Se3 0.0000 0.3088 0.0116 1
Se4 0.0000 0.3447 0.6722 1
Se5 0.0000 0.4946 0.4036 1


# 15
# NpCuRh4 (GGA-PBE, relaxed)
# - energy relative to the lowest polymorph listed for this composition (meV per atom) = 84
# - energy of formation from the pure elements (kcal/mol of atoms) = -1.989
data_NpCuRh4
_space_group_name_H-M_alt 'F -4 3 m'
_space_group_IT_number 216
_space_group_name_Hall 'F -4 2 3'
_cell_length_a 7.3469
_cell_length_b 7.3469
_cell_length_c 7.3469
_cell_angle_alpha 90.00
_cell_angle_beta 90.00
_cell_angle_gamma 90.00
loop_
_atom_site_label
_atom_site_fract_x
_atom_site_fract_y
_atom_site_fract_z
_atom_site_occupancy
Np1 0.0000 0.0000 0.0000 1
Cu1 0.2500 0.2500 0.7500 1
Rh1 0.1243 0.1243 0.3757 1


# 16
# HfTaSnO2 (GGA-PBE, relaxed)
# - ΔE_f (raw) (meV per atom) = 371
data_HfTaSnO2
_space_group_name_H-M_alt 'P 4/m m m'
_space_group_IT_number 123
_space_group_name_Hall '-P 4 2'
_cell_length_a 4.0893
_cell_length_b 4.0893
_cell_length_c 5.6438
_cell_angle_alpha 90.00
_cell_angle_beta 90.00
_cell_angle_gamma 90.00
loop_
_atom_site_label
_atom_site_fract_x
_atom_site_fract_y
_atom_site_fract_z
_atom_site_occupancy
Hf1 0.0000 0.0000 0.0000 1
Ta1 0.5000 0.5000 0.0000 1
Sn1 0.5000 0.5000 0.5000 1
O1 0.0000 0.5000 0.5000 1


# 17
# TlIn4Cu (GGA-PBE, relaxed)
# - energy relative to the lowest polymorph listed for this composition (meV per atom) = 278
# - energy of formation from the pure elements (kcal/mol of atoms) = 7.714
data_TlIn4Cu
_space_group_name_H-M_alt 'F -4 3 m'
_space_group_IT_number 216
_space_group_name_Hall 'F -4 2 3'
_cell_length_a 8.7186
_cell_length_b 8.7186
_cell_length_c 8.7186
_cell_angle_alpha 90.00
_cell_angle_beta 90.00
_cell_angle_gamma 90.00
loop_
_atom_site_label
_atom_site_fract_x
_atom_site_fract_y
_atom_site_fract_z
_atom_site_occupancy
Tl1 0.0000 0.0000 0.0000 1
In1 0.1246 0.1246 0.3754 1
Cu1 0.2500 0.2500 0.7500 1


# 18
# Al2RhAu (GGA-PBE, relaxed)
# - energy relative to the lowest polymorph listed for this composition (meV per atom) = 81
# - energy of formation from the pure elements (kcal/mol of atoms) = -13.786
data_Al2RhAu
_space_group_name_H-M_alt 'P m m 2'
_space_group_IT_number 25
_cell_length_a 3.1039
_cell_length_b 3.6965
_cell_length_c 5.4069
_cell_angle_alpha 90.00
_cell_angle_beta 90.00
_cell_angle_gamma 90.00
loop_
_space_group_symop_operation_xyz
'x,y,z'
'-x,-y,z'
'-x,y,z'
'x,-y,z'
loop_
_atom_site_label
_atom_site_fract_x
_atom_site_fract_y
_atom_site_fract_z
_atom_site_occupancy
Al1 0.0000 0.0000 0.0000 1
Al2 0.5000 0.5000 0.3027 1
Rh1 0.5000 0.5000 0.8361 1
Au1 0.0000 0.0000 0.4999 1


# 19
# YErSiS (GGA-PBE, relaxed)
# - ΔE_f (raw) (meV per atom) = -1372
data_YErSiS
_space_group_name_H-M_alt 'R 3 m'
_space_group_IT_number 160
_space_group_name_Hall 'R 3 -2"'
_cell_length_a 3.9969
_cell_length_b 3.9969
_cell_length_c 19.8792
_cell_angle_alpha 90.00
_cell_angle_beta 90.00
_cell_angle_gamma 120.00
loop_
_atom_site_label
_atom_site_fract_x
_atom_site_fract_y
_atom_site_fract_z
_atom_site_occupancy
Y1 0.0000 0.0000 0.0000 1
Er1 0.0000 0.0000 0.4985 1
Si1 0.0000 0.0000 0.7501 1
S1 0.0000 0.0000 0.2480 1


# 20
# SmTm2Ru3 (GGA-PBE, relaxed)
# - energy of formation from the pure elements (kcal/mol of atoms) = -7.487
data_SmTm2Ru3
_space_group_name_H-M_alt 'C m m m'
_space_group_IT_number 65
_space_group_name_Hall '-C 2 2'
_cell_length_a 4.7840
_cell_length_b 14.3882
_cell_length_c 3.4038
_cell_angle_alpha 90.00
_cell_angle_beta 90.00
_cell_angle_gamma 90.00
loop_
_atom_site_label
_atom_site_fract_x
_atom_site_fract_y
_atom_site_fract_z
_atom_site_occupancy
Sm1 0.0000 0.0000 0.0000 1
Tm1 0.0000 0.3314 0.0000 1
Ru1 0.0000 0.1696 0.5000 1
Ru2 0.0000 0.5000 0.5000 1